[1]
The following is a DFT calculation (PBE-GGA) of Si2AsCl after structural relaxation.

Geometry as extended XYZ:
```
4
Lattice="4.662 -0.035 0.027 -1.605 4.371 -0.018 1.625 2.078 3.830" Properties=species:S:1:pos:R:3 pbc="T T T"
As 1.529 2.168 0.005
Cl 3.144 1.021 1.928
Si 0.000 0.000 0.000
Si 0.010 3.225 1.906
```

Energy relative to the lowest polymorph listed for this composition ... 1.71 eV per formula unit
Raw formation energy ... 36.5 kJ per mole of atoms

---

[2]
The following is a DFT calculation (PBE-GGA) of RbMg6Sn after structural relaxation.

Geometry as extended XYZ:
```
8
Lattice="3.165 -7.184 0.000 3.165 7.184 0.000 0.000 0.000 5.059" Properties=species:S:1:pos:R:3 pbc="T T T"
Rb 3.165 3.025 2.530
Mg 1.597 0.893 0.000
Mg 4.733 0.893 0.000
Mg 3.165 -2.963 0.000
Mg 1.658 -0.967 2.530
Mg 4.672 -0.967 2.530
Mg 3.165 -5.415 2.530
Sn 3.165 5.502 0.000
```

Energy relative to the lowest polymorph listed for this composition ... 0.00 eV per formula unit
Energy relative to the elements ... 0.1132 eV per atom